(1)
{"formula": "HfTePtO2", "functional": "PBE-GGA", "state": "optimized geometry", "cell": [[-1.3938, -3.1357, 2.0206], [2.8924, 1.6392, 4.5390], [-3.1184, 2.1632, 1.2059]], "species": ["Te", "O", "O", "Hf", "Pt"], "frac_coords": [[0.5000, 0.5000, 0.5000], [0.0000, 0.0000, 0.5000], [0.5000, 0.0000, 0.0000], [0.0000, 0.5000, 0.0000], [0.0000, 0.0000, 0.0000]], "total_energy_ev_per_atom": -5.9907, "vol_a3_per_atom": 17.84, "sg": "P4/mmm, No. 123", "dos_at_fermi_per_ev_cell": 4.9, "raw_formation_energy_ev_per_atom": -0.1802}

***

(2)
{"formula": "LaGeSbI2", "functional": "PBE-GGA", "state": "optimized geometry", "cell": [[-3.7141, -4.1007, -0.5796], [0.4725, -1.1930, 5.4130], [-4.1686, 3.6117, 1.1599]], "species": ["Sb", "Ge", "I", "La", "I"], "frac_coords": [[0.0000, 0.0000, 0.5000], [0.0000, 0.0000, 0.0000], [0.0000, 0.5000, 0.0000], [0.5000, 0.5000, 0.5000], [0.5000, 0.0000, 0.0000]], "total_energy_ev_per_atom": -3.5508, "vol_a3_per_atom": 34.88, "sg": "P4/mmm, No. 123", "dos_at_fermi_per_ev_cell": 5.0, "raw_formation_energy_ev_per_atom": -0.1973}

***

(3)
{"formula": "DyY3Ni", "functional": "PBE-GGA", "state": "optimized geometry", "cell": [[3.5927, 0.0000, 0.5904], [1.7490, 6.0540, 0.5836], [-0.2297, -0.6916, 12.6256]], "species": ["Y", "Y", "Y", "Y", "Ni", "Ni", "Dy", "Y", "Y", "Dy"], "frac_coords": [[0.4441, 0.9587, 0.1532], [0.0974, 0.1678, 0.6373], [0.7700, 0.7048, 0.7551], [0.4363, 0.6152, 0.5122], [0.4334, 0.3462, 0.7870], [0.7754, 0.3260, 0.1232], [0.1152, 0.4990, 0.2705], [0.9908, 0.1055, 0.9129], [0.7756, 0.0549, 0.3940], [0.2225, 0.5587, 0.9963]], "total_energy_ev_per_atom": -6.1229, "vol_a3_per_atom": 27.62, "sg": "Cm, No. 8", "de_polymorph_ev_per_atom": 0.000, "dos_at_fermi_per_ev_cell": 14.3}

***

(4)
{"formula": "Bi2Se2O", "functional": "PBE-GGA", "state": "optimized geometry", "cell": [[4.0325, 0.0000, 0.0000], [0.0000, 7.9283, 0.0000], [-2.0163, 0.0000, 7.9446]], "species": ["O", "Se", "Bi", "Bi", "Bi", "Se", "Se", "O", "Se", "Bi"], "frac_coords": [[0.3993, 0.3947, 0.7986], [0.2047, 0.6125, 0.4094], [0.4439, 0.1282, 0.8878], [0.1691, 0.9714, 0.3381], [0.8309, 0.4714, 0.6619], [0.9484, 0.7587, 0.8969], [0.0516, 0.2587, 0.1031], [0.6007, 0.8947, 0.2014], [0.7953, 0.1125, 0.5906], [0.5561, 0.6282, 0.1122]], "total_energy_ev_per_atom": -4.5696, "vol_a3_per_atom": 25.40, "sg": "Cmc2_1, No. 36", "de_polymorph_ev_per_atom": 0.000, "raw_formation_energy_ev_per_atom": -0.6317}